DFT (PBE-GGA) results for crystalline Pa3Re4N12 at its relaxed geometry.

Lattice parameters (Å, degrees): 7.7933 7.7933 7.7933 90.00 90.00 90.00
Last column: nearest neighbours and their distance in Å.
Space group Im-3 (No. 204)
Unique sites:
Pa1 0.0000 0.0000 0.5000 x6  4 N 2.27
Re1 0.2500 0.2500 0.2500 x8  6 N 2.01
N1 0.0000 0.2996 0.2112 x24  2 Re 2.01

Results
The value obtained for the total DFT energy (no corrections) is -379.29 eV per cell. The value obtained for the total magnetization is 0.00 μB/f.u. For the uncorrected formation energy, the calculation gives -0.6031 eV per atom.

---

DFT (PBE-GGA) results for crystalline Pa2ReN at its relaxed geometry.

Lattice parameters (Å, degrees): 3.0447 3.0447 7.2505 90.00 90.00 90.00
Last column: nearest neighbours and their distance in Å.
Space group P4/mmm (No. 123)
Unique sites:
Pa1 0.0000 0.0000 0.2160 x2  4 N 2.66, 4 Re 2.98
Re1 0.5000 0.5000 0.5000 x1  8 Pa 2.98, 4 Re 3.04
N1 0.5000 0.5000 0.0000 x1  8 Pa 2.66

Results
The value obtained for the total DFT energy (no corrections) is -40.88 eV per cell. The value obtained for the total magnetization is 0.00 μB/f.u. For the uncorrected formation energy, the calculation gives -0.2794 eV per atom. The offset from the most stable computed form comes out at 0 meV/atom.

---

DFT (PBE-GGA) results for crystalline PaReN4 at its relaxed geometry.

Lattice parameters (Å, degrees): 5.1734 11.6036 5.3689 90.00 90.00 90.00
Last column: nearest neighbours and their distance in Å.
Space group Pbcn (No. 60)
Unique sites:
Pa1 0.0000 0.1155 0.2500 x4  6 N 2.26-2.49
Re1 0.0000 0.3950 0.2500 x4  4 N 1.78-1.91
N1 0.1609 0.2954 0.0502 x8  1 Re 1.78
N2 0.2366 0.0320 0.9445 x8  1 Re 1.91

Results
The value obtained for the total DFT energy (no corrections) is -235.75 eV per cell. The value obtained for the total magnetization is 0.00 μB/f.u. For the uncorrected formation energy, the calculation gives -0.6152 eV per atom. The offset from the most stable computed form comes out at 0 meV/atom.

---

DFT (PBE-GGA) results for crystalline Pa4ReN7 at its relaxed geometry.

Lattice parameters (Å, degrees): 12.8845 3.8573 9.1057 90.00 132.88 90.00
Last column: nearest neighbours and their distance in Å.
Space group C2/m (No. 12)
Unique sites:
Pa1 0.0796 0.0000 0.3755 x4  5 N 2.27-2.43
Pa2 0.2458 0.5000 0.8306 x4  5 N 2.26-2.50
Re1 0.0000 0.5000 0.0000 x2  4 N 1.93-2.11
N1 0.0000 0.0000 0.0000 x2  2 Re 1.93
N2 0.1008 0.5000 0.8903 x4  1 Re 2.11, 1 Pa 2.27
N3 0.1267 0.0000 0.6775 x4  4 Pa 2.26-2.38
N4 0.1960 0.5000 0.5390 x4  4 Pa 2.27-2.43

Results
The value obtained for the total DFT energy (no corrections) is -252.54 eV per cell. The value obtained for the total magnetization is 0.00 μB/f.u. For the uncorrected formation energy, the calculation gives -1.4635 eV per atom.